Computed, not measured: a relaxed structure of SmHo2Lu at the PBE level of DFT.

Unit cell a=11.682 b=11.682 c=11.682 alpha=17.42 beta=17.42 gamma=17.42
Element x y z (fractional)
Sm1 0.000 0.000 0.000
Ho1 0.248 0.248 0.248
Ho2 0.752 0.752 0.752
Lu1 0.500 0.500 0.500

Values from the calculation:
Space group: R-3m (166)
Energy above the most stable polymorph in this dataset in eV/f.u.: 0.00
Mass density in g/cm³: 8.727

Computed, not measured: a relaxed structure of La2Pm3Hg4 at the PBE level of DFT.

Unit cell a=9.727 b=9.727 c=8.522 alpha=90.00 beta=90.00 gamma=136.60
Element x y z (fractional)
La1 0.095 0.905 0.916
La2 0.405 0.595 0.416
La3 0.595 0.405 0.584
La4 0.905 0.095 0.084
Pm1 0.000 0.000 0.500
Pm2 0.011 0.489 0.750
Pm3 0.489 0.011 0.250
Pm4 0.500 0.500 0.000
Pm5 0.511 0.989 0.750
Pm6 0.989 0.511 0.250
Hg1 0.169 0.831 0.527
Hg2 0.186 0.314 0.750
Hg3 0.314 0.186 0.250
Hg4 0.331 0.669 0.027
Hg5 0.669 0.331 0.973
Hg6 0.686 0.814 0.750
Hg7 0.814 0.686 0.250
Hg8 0.831 0.169 0.473

Values from the calculation:
Space group: Cmce (64)
Mass density in g/cm³: 9.084

Across the entries above, ΔH_f (0 K) takes the values 0.1 -3.1 eV/f.u., respectively.
Across the entries above, electronic total energy takes the values -4.5729 -3.1574 eV/atom, respectively.